[1]
6
Lattice="-4.1096 -1.2207 -2.2659 2.1487 -3.9772 -1.7544 -2.8835 -5.0693 7.9607" Properties=species:S:1:pos:R:3 comment="PBE RbSmTe, optimized geometry" mass_density_g_cm3=5.2 formation_energy_uncorrected_ev_per_atom=-0.790 pbc="T T T"
Te 0.2912 -3.3654 1.2850
Sm -1.4417 -2.5347 3.9804
Sm -2.4222 -5.1336 1.9703
Te -4.1551 -4.3029 4.6657
Rb -1.4099 -6.3561 5.9814
Rb -2.4540 -1.3122 -0.0307

---

[2]
4
Lattice="4.6777 0.0000 0.0000 2.3388 4.0510 0.0000 2.3388 1.3503 8.5598" Properties=species:S:1:pos:R:3 comment="PBE TbSnSb2, optimized geometry" mass_density_g_cm3=5.3 polymorph_energy_mev_per_atom=480 formation_energy_uncorrected_ev_per_atom=0.008 pbc="T T T"
Tb 4.6777 2.7007 4.2799
Sb 2.3388 1.3503 5.7813
Sn 0.0000 0.0000 0.0000
Sb 7.0165 4.0510 2.7785

---

What is the formula in the first record? RbSmTe